Version one
Below is a relaxed structure of Ba4Sb2N, with properties calculated at the PBE level.

abc: 5.718 17.037 5.119
angles: 90.00 90.00 90.00
Space group Cmmm (No. 65)
One atom of each set of equivalent atoms:
Ba: 0.000 0.000 0.000 (multiplicity 2)
Ba: 0.000 0.171 0.500 (multiplicity 4)
Ba: 0.000 0.500 0.500 (multiplicity 2)
Sb: 0.000 0.350 0.000 (multiplicity 4)
N: 0.000 0.000 0.500 (multiplicity 2)

theoretical density: 5.37 g/cm3
total magnetic moment: 0.11 μB per formula unit

=====

Version two
Below is a relaxed structure of Ba4Sb2N, with properties calculated at the PBE level.

abc: 5.369 5.369 18.415
angles: 90.00 90.00 90.00
Space group I4/mmm (No. 139)
One atom of each set of equivalent atoms:
Ba: 0.000 0.000 0.169 (multiplicity 4)
Ba: 0.000 0.500 0.000 (multiplicity 4)
Sb: 0.000 0.000 0.362 (multiplicity 4)
N: 0.000 0.000 0.000 (multiplicity 2)

theoretical density: 5.05 g/cm3
total magnetic moment: 0.65 μB per formula unit

=====

Relative energies, kJ/mol of atoms: version one 5.9; version two 0.0.

=====

Version one
Below is a relaxed structure of BaSbTe2N, with properties calculated at the PBE level.

abc: 6.006 6.006 4.215
angles: 90.00 90.00 90.00
Space group P4/mmm (No. 123)
One atom of each set of equivalent atoms:
Ba: 0.000 0.000 0.000 (multiplicity 1)
Sb: 0.500 0.500 0.500 (multiplicity 1)
Te: 0.000 0.500 0.500 (multiplicity 2)
N: 0.500 0.500 0.000 (multiplicity 1)

theoretical density: 5.77 g/cm3
total magnetic moment: 0.83 μB per formula unit

=====

Version two
Below is a relaxed structure of BaSbTe2N, with properties calculated at the PBE level.

abc: 6.485 6.485 4.377
angles: 90.00 90.00 90.00
Space group P4/mmm (No. 123)
One atom of each set of equivalent atoms:
Ba: 0.000 0.000 0.000 (multiplicity 1)
Sb: 0.500 0.500 0.500 (multiplicity 1)
Te: 0.000 0.500 0.000 (multiplicity 2)
N: 0.000 0.000 0.500 (multiplicity 1)

theoretical density: 4.77 g/cm3
total magnetic moment: 1.07 μB per formula unit

=====

Relative energies, kJ/mol of atoms: version one 0.0; version two 102.8.